Entry 1:
Material: Gd3Sc5S12
Method: DFT, GGA-PBE
State: relaxed

For the raw formation energy, the calculation gives -36.993 eV/f.u.

The space group is Ia-3d (No. 230) and the conventional cell measures 15.586, 15.586 and 15.586 Å, with angles of 90.00, 90.00 and 90.00 degrees. Symmetry generates all atoms from Gd at (0.000, 0.250, 0.125), Sc at (0.000, 0.000, 0.000), Sc at (0.000, 0.250, 0.375) and S at (0.025, 0.064, 0.651).

=====

Entry 2:
Material: Nd5S4Cl
Method: DFT, GGA-PBE
State: relaxed

For the raw formation energy, the calculation gives -18.924 eV/f.u.

The space group is I4/m (No. 87) and the conventional cell measures 9.120, 9.120 and 5.756 Å, with angles of 90.00, 90.00 and 90.00 degrees. Symmetry generates all atoms from Nd at (0.000, 0.000, 0.000), Nd at (0.103, 0.316, 0.500), S at (0.107, 0.298, 0.000) and Cl at (0.000, 0.000, 0.500).

=====

Entry 3:
Material: Zn2AgAu8
Method: DFT, GGA-PBE
State: relaxed

As for the formation energy: -0.097 eV per atom.

The space group is C2/m (No. 12) and the conventional cell measures 14.477, 4.195 and 6.667 Å, with angles of 90.00, 108.67 and 90.00 degrees. Symmetry generates all atoms from Zn at (0.223, 0.000, 0.150), Ag at (0.000, 0.500, 0.500), Au at (0.046, 0.000, 0.228), Au at (0.101, 0.500, 0.962), Au at (0.147, 0.000, 0.710) and Au at (0.181, 0.500, 0.421).

=====

Entry 4:
Material: LiCu2S
Method: DFT, GGA-PBE
State: relaxed

For the raw formation energy, the calculation gives -0.619 eV/f.u.

The space group is I-42d (No. 122) and the conventional cell measures 3.594, 3.594 and 17.085 Å, with angles of 90.00, 90.00 and 90.00 degrees. Symmetry generates all atoms from Li at (0.000, 0.000, 0.000), Cu at (0.234, 0.250, 0.625) and S at (0.000, 0.000, 0.500).

=====

Entry 5:
Material: Th2GaBi4
Method: DFT, GGA-PBE
State: relaxed

As for the formation energy: -0.338 eV per atom.

The space group is C2/m (No. 12) and the conventional cell measures 9.007, 9.929 and 6.664 Å, with angles of 90.00, 132.42 and 90.00 degrees. Symmetry generates all atoms from Th at (0.250, 0.250, 0.000), Ga at (0.000, 0.000, 0.500), Bi at (0.000, 0.000, 0.000), Bi at (0.000, 0.500, 0.000) and Bi at (0.250, 0.250, 0.500).

=====

Entry 6:
Material: TbEr4Ag
Method: DFT, GGA-PBE
State: relaxed

The energy above the most stable polymorph in this dataset is 0.0 meV/atom. As for the formation energy: -0.080 eV per atom.

The space group is P4/mmm (No. 123) and the conventional cell measures 3.517, 3.517 and 13.842 Å, with angles of 90.00, 90.00 and 90.00 degrees. Symmetry generates all atoms from Tb at (0.000, 0.000, 0.000), Er at (0.000, 0.000, 0.362), Er at (0.500, 0.500, 0.181) and Ag at (0.500, 0.500, 0.500).